# NbBIO2 | Alexandria | SCAN | PBEsol geometry
# - DOS(E_F) (states/eV/cell) = 2.86
# - VASP energy (eV per cell) = -86.79
data_NbBIO2
_chemical_formula_sum 'Nb1 B1 I1 O2'
_symmetry_space_group_name_H-M 'P 4/m m m'
_symmetry_Int_Tables_number 123
_symmetry_space_group_name_Hall '-P 4 2'
_cell_length_a 3.820
_cell_length_b 3.820
_cell_length_c 4.452
_cell_angle_alpha 90.00
_cell_angle_beta 90.00
_cell_angle_gamma 90.00
loop_
_atom_site_label
_atom_site_fract_x
_atom_site_fract_y
_atom_site_fract_z
Nb1 0.000 0.000 0.000
B1 0.500 0.500 0.500
I1 0.500 0.500 0.000
O1 0.000 0.500 0.500

***

# NbBTe2I | Alexandria | SCAN | PBEsol geometry
# - DOS(E_F) (states/eV/cell) = 3.64
# - VASP energy (eV per cell) = -146.37
data_NbBTe2I
_chemical_formula_sum 'Nb1 B1 Te2 I1'
_symmetry_space_group_name_H-M 'P 4/m m m'
_symmetry_Int_Tables_number 123
_symmetry_space_group_name_Hall '-P 4 2'
_cell_length_a 5.330
_cell_length_b 5.330
_cell_length_c 5.567
_cell_angle_alpha 90.00
_cell_angle_beta 90.00
_cell_angle_gamma 90.00
loop_
_atom_site_label
_atom_site_fract_x
_atom_site_fract_y
_atom_site_fract_z
Nb1 0.000 0.000 0.000
B1 0.500 0.500 0.500
Te1 0.000 0.500 0.000
I1 0.000 0.000 0.500

***

# NiB2I | Alexandria | SCAN | PBEsol geometry
# - DOS(E_F) (states/eV/cell) = 5.42
# - offset from the most stable computed form (meV/atom) = 0
data_NiB2I
_chemical_formula_sum 'Ni4 B8 I4'
_symmetry_space_group_name_H-M 'I 41/a m d'
_symmetry_Int_Tables_number 141
_cell_length_a 3.837
_cell_length_b 3.837
_cell_length_c 14.252
_cell_angle_alpha 90.00
_cell_angle_beta 90.00
_cell_angle_gamma 90.00
loop_
_symmetry_equiv_pos_as_xyz
'x,y,z'
'-x,-y,-z'
'-y+1/4,x+3/4,z+1/4'
'y+1/4,-x+3/4,-z+1/4'
'-x+1/2,-y,z+1/2'
'x+1/2,y,-z+1/2'
'y+1/4,-x+1/4,z+3/4'
'-y+1/4,x+1/4,-z+3/4'
'x,-y,-z'
'-x,y,z'
'-y+1/4,-x+1/4,-z+3/4'
'y+1/4,x+1/4,z+3/4'
'-x+1/2,y,-z+1/2'
'x+1/2,-y,z+1/2'
'y+1/4,x+3/4,-z+1/4'
'-y+1/4,-x+3/4,z+1/4'
'x+1/2,y+1/2,z+1/2'
'-x+1/2,-y+1/2,-z+1/2'
'-y+3/4,x+1/4,z+3/4'
'y+3/4,-x+1/4,-z+3/4'
'-x,-y+1/2,z'
'x,y+1/2,-z'
'y+3/4,-x+3/4,z+1/4'
'-y+3/4,x+3/4,-z+1/4'
'x+1/2,-y+1/2,-z+1/2'
'-x+1/2,y+1/2,z+1/2'
'-y+3/4,-x+3/4,-z+1/4'
'y+3/4,x+3/4,z+1/4'
'-x,y+1/2,-z'
'x,-y+1/2,z'
'y+3/4,x+1/4,-z+3/4'
'-y+3/4,-x+1/4,z+3/4'
loop_
_atom_site_label
_atom_site_fract_x
_atom_site_fract_y
_atom_site_fract_z
Ni1 0.000 0.250 0.375
B1 0.000 0.000 0.500
I1 0.000 0.250 0.875

***

# NiB2I | Alexandria | SCAN | PBEsol geometry
# - DOS(E_F) (states/eV/cell) = 10.44
# - offset from the most stable computed form (meV/atom) = 1190
data_NiB2I
_chemical_formula_sum 'Ni4 B8 I4'
_symmetry_space_group_name_H-M 'F m -3 m'
_symmetry_Int_Tables_number 225
_symmetry_space_group_name_Hall '-F 4 2 3'
_cell_length_a 5.824
_cell_length_b 5.824
_cell_length_c 5.824
_cell_angle_alpha 90.00
_cell_angle_beta 90.00
_cell_angle_gamma 90.00
loop_
_atom_site_label
_atom_site_fract_x
_atom_site_fract_y
_atom_site_fract_z
Ni1 0.000 0.000 0.000
B1 0.250 0.250 0.250
I1 0.000 0.000 0.500

***

# NiB2PI | Alexandria | SCAN | PBEsol geometry
# - DOS(E_F) (states/eV/cell) = 1.93
# - VASP energy (eV per cell) = -72.92
data_NiB2PI
_chemical_formula_sum 'Ni1 B2 P1 I1'
_symmetry_space_group_name_H-M 'P 4/m m m'
_symmetry_Int_Tables_number 123
_symmetry_space_group_name_Hall '-P 4 2'
_cell_length_a 3.876
_cell_length_b 3.876
_cell_length_c 5.035
_cell_angle_alpha 90.00
_cell_angle_beta 90.00
_cell_angle_gamma 90.00
loop_
_atom_site_label
_atom_site_fract_x
_atom_site_fract_y
_atom_site_fract_z
Ni1 0.000 0.000 0.000
B1 0.000 0.500 0.000
P1 0.000 0.000 0.500
I1 0.500 0.500 0.500

***

# NiBSb2I | Alexandria | SCAN | PBEsol geometry
# - DOS(E_F) (states/eV/cell) = 3.22
# - VASP energy (eV per cell) = -128.37
data_NiBSb2I
_chemical_formula_sum 'Ni1 B1 Sb2 I1'
_symmetry_space_group_name_H-M 'P 4/m m m'
_symmetry_Int_Tables_number 123
_symmetry_space_group_name_Hall '-P 4 2'
_cell_length_a 4.669
_cell_length_b 4.669
_cell_length_c 4.843
_cell_angle_alpha 90.00
_cell_angle_beta 90.00
_cell_angle_gamma 90.00
loop_
_atom_site_label
_atom_site_fract_x
_atom_site_fract_y
_atom_site_fract_z
Ni1 0.000 0.000 0.000
B1 0.500 0.500 0.500
Sb1 0.000 0.500 0.500
I1 0.500 0.500 0.000

***

> DOS(E_F) of number 1 (NbBIO2)?

2.86 states/eV/cell

***

Repeat the third record exactly.
# NiB2I | Alexandria | SCAN | PBEsol geometry
# - DOS(E_F) (states/eV/cell) = 5.42
# - offset from the most stable computed form (meV/atom) = 0
data_NiB2I
_chemical_formula_sum 'Ni4 B8 I4'
_symmetry_space_group_name_H-M 'I 41/a m d'
_symmetry_Int_Tables_number 141
_cell_length_a 3.837
_cell_length_b 3.837
_cell_length_c 14.252
_cell_angle_alpha 90.00
_cell_angle_beta 90.00
_cell_angle_gamma 90.00
loop_
_symmetry_equiv_pos_as_xyz
'x,y,z'
'-x,-y,-z'
'-y+1/4,x+3/4,z+1/4'
'y+1/4,-x+3/4,-z+1/4'
'-x+1/2,-y,z+1/2'
'x+1/2,y,-z+1/2'
'y+1/4,-x+1/4,z+3/4'
'-y+1/4,x+1/4,-z+3/4'
'x,-y,-z'
'-x,y,z'
'-y+1/4,-x+1/4,-z+3/4'
'y+1/4,x+1/4,z+3/4'
'-x+1/2,y,-z+1/2'
'x+1/2,-y,z+1/2'
'y+1/4,x+3/4,-z+1/4'
'-y+1/4,-x+3/4,z+1/4'
'x+1/2,y+1/2,z+1/2'
'-x+1/2,-y+1/2,-z+1/2'
'-y+3/4,x+1/4,z+3/4'
'y+3/4,-x+1/4,-z+3/4'
'-x,-y+1/2,z'
'x,y+1/2,-z'
'y+3/4,-x+3/4,z+1/4'
'-y+3/4,x+3/4,-z+1/4'
'x+1/2,-y+1/2,-z+1/2'
'-x+1/2,y+1/2,z+1/2'
'-y+3/4,-x+3/4,-z+1/4'
'y+3/4,x+3/4,z+1/4'
'-x,y+1/2,-z'
'x,-y+1/2,z'
'y+3/4,x+1/4,-z+3/4'
'-y+3/4,-x+1/4,z+3/4'
loop_
_atom_site_label
_atom_site_fract_x
_atom_site_fract_y
_atom_site_fract_z
Ni1 0.000 0.250 0.375
B1 0.000 0.000 0.500
I1 0.000 0.250 0.875